The following is a DFT calculation (GGA-PBE) of Lu2HfAl after structural relaxation.

Computed properties:
* SG: F-43m (216)
* DFT total energy: -22.61 eV/cell

Geometry as POSCAR:
```
Lu2HfAl
1.0
0.000 3.585 3.585
3.585 0.000 3.585
3.585 3.585 0.000
Lu Hf Al
2 1 1
direct
0.000 0.000 0.000
0.250 0.250 0.250
0.750 0.750 0.750
0.500 0.500 0.500
```

***

The following is a DFT calculation (GGA-PBE) of LiNdTlCd after structural relaxation.

Computed properties:
* SG: F-43m (216)
* DFT total energy: -11.28 eV/cell

Geometry as POSCAR:
```
LiNdTlCd
1.0
0.000 3.673 3.673
3.673 0.000 3.673
3.673 3.673 0.000
Li Nd Tl Cd
1 1 1 1
direct
0.000 0.000 0.000
0.500 0.500 0.500
0.250 0.250 0.250
0.750 0.750 0.750
```

***

The following is a DFT calculation (GGA-PBE) of NdAlGaPt2 after structural relaxation.

Computed properties:
* SG: P4/nmm (129)
* DFT total energy: -57.76 eV/cell

Geometry as POSCAR:
```
NdAlGaPt2
1.0
4.399 0.000 0.000
0.000 4.399 0.000
0.000 0.000 10.016
Nd Al Ga Pt
2 2 2 4
direct
0.250 0.250 0.248
0.750 0.750 0.752
0.250 0.250 0.623
0.750 0.750 0.377
0.250 0.750 0.000
0.750 0.250 0.000
0.250 0.250 0.867
0.250 0.750 0.500
0.750 0.250 0.500
0.750 0.750 0.133
```

***

The following is a DFT calculation (GGA-PBE) of TaCuNiSn after structural relaxation.

Computed properties:
* energy above the most stable polymorph in this dataset: 0.0 meV per atom
* SG: F-43m (216)

Geometry as POSCAR:
```
TaCuNiSn
1.0
0.000 3.123 3.123
3.123 0.000 3.123
3.123 3.123 0.000
Ta Cu Ni Sn
1 1 1 1
direct
0.000 0.000 0.000
0.750 0.750 0.750
0.250 0.250 0.250
0.500 0.500 0.500
```

***

The following is a DFT calculation (GGA-PBE) of AlHgSO after structural relaxation.

Computed properties:
* energy above the most stable polymorph in this dataset: 301.5 meV per atom
* SG: P4/nmm (129)

Geometry as POSCAR:
```
AlHgSO
1.0
3.828 0.000 0.000
0.000 3.828 0.000
0.000 0.000 10.107
Al Hg S O
2 2 2 2
direct
0.250 0.250 0.062
0.750 0.750 0.938
0.250 0.750 0.500
0.750 0.250 0.500
0.250 0.250 0.278
0.750 0.750 0.722
0.250 0.750 0.000
0.750 0.250 0.000
```

***

The following is a DFT calculation (GGA-PBE) of InAs3Ir after structural relaxation.

Computed properties:
* SG: P-6c2 (188)
* DFT total energy: -50.20 eV/cell

Geometry as POSCAR:
```
InAs3Ir
1.0
6.461 0.000 0.000
-3.230 5.595 0.000
0.000 0.000 5.782
In As Ir
2 6 2
direct
0.000 0.000 0.000
0.000 0.000 0.500
0.028 0.422 0.250
0.028 0.607 0.750
0.393 0.422 0.750
0.393 0.972 0.250
0.578 0.607 0.250
0.578 0.972 0.750
0.667 0.333 0.000
0.667 0.333 0.500
```

***

The following is a DFT calculation (GGA-PBE) of LuSi after structural relaxation.

Computed properties:
* SG: P6_3/mmc (194)
* DFT total energy: -21.27 eV/cell

Geometry as POSCAR:
```
LuSi
1.0
3.730 0.000 0.000
-1.865 3.231 0.000
0.000 0.000 7.710
Lu Si
2 2
direct
0.000 0.000 0.000
0.000 0.000 0.500
0.333 0.667 0.250
0.667 0.333 0.750
```

***

The following is a DFT calculation (GGA-PBE) of DyPSe3S after structural relaxation.

Computed properties:
* energy above the most stable polymorph in this dataset: 0.0 meV per atom
* SG: P-1 (2)

Geometry as POSCAR:
```
DyPSe3S
1.0
6.620 0.000 0.000
0.720 6.751 0.000
0.423 0.144 7.916
Dy P Se S
2 2 6 2
direct
0.202 0.209 0.055
0.798 0.791 0.945
0.304 0.757 0.816
0.696 0.243 0.184
0.114 0.508 0.776
0.378 0.772 0.088
0.422 0.254 0.350
0.578 0.746 0.650
0.622 0.228 0.912
0.886 0.492 0.224
0.094 0.002 0.773
0.906 0.998 0.227
```

***

Q: Which formula does entry 6 have?
A: InAs3Ir